# 1
An optimized crystal structure of HgMo2Br. Source: the Alexandria database, functional PBE.

For the density of states at the Fermi level, the calculation gives 0.65 states/eV per atom. The calculation puts the formation energy without anion corrections at 1.014 eV per atom. Its total energy is -0.360 Ry per atom.

The structure belongs to space group I-42d (No. 122); the cell edges are 4.177, 4.177 and 19.117 Å and the angles 90.00°, 90.00° and 90.00°. Symmetry generates all atoms from Hg at (0.000, 0.000, 0.000), Mo at (0.176, 0.250, 0.625) and Br at (0.000, 0.000, 0.500).



# 2
An optimized crystal structure of Hg2MoBr. Source: the Alexandria database, functional PBE.

For the density of states at the Fermi level, the calculation gives 0.42 states/eV per atom. The calculation puts the formation energy without anion corrections at 0.700 eV per atom. Its total energy is -0.189 Ry per atom.

The structure belongs to space group I4/mmm (No. 139); the cell edges are 4.145, 4.145 and 11.947 Å and the angles 90.00°, 90.00° and 90.00°. Symmetry generates all atoms from Hg at (0.000, 0.500, 0.250), Mo at (0.000, 0.000, 0.000) and Br at (0.000, 0.000, 0.500).



# 3
An optimized crystal structure of Hg2MoBr. Source: the Alexandria database, functional PBE.

For the density of states at the Fermi level, the calculation gives 0.65 states/eV per atom. The calculation puts the formation energy without anion corrections at 0.719 eV per atom. Its total energy is -0.188 Ry per atom.

The structure belongs to space group P4/mmm (No. 123); the cell edges are 5.184, 5.184 and 3.397 Å and the angles 90.00°, 90.00° and 90.00°. Symmetry generates all atoms from Hg at (0.000, 0.500, 0.000), Mo at (0.000, 0.000, 0.500) and Br at (0.500, 0.500, 0.500).



The highest formation energy without anion corrections belongs to which entry?
HgMo2Br



The highest formation energy without anion corrections belongs to which entry?
HgMo2Br



The highest formation energy without anion corrections belongs to which entry?
HgMo2Br



Which of these has the lowest formation energy without anion corrections?
number 2